Entry 1:
A plane-wave DFT calculation with PBE was carried out for a relaxed structure of K2SbPb2O6.

Geometry as extended XYZ:
```
11
Lattice="3.139 -5.112 0.000 3.139 5.112 0.000 -2.026 0.000 6.383" Properties=species:S:1:pos:R:3 pbc="T T T"
K 3.139 3.339 0.000
K 3.139 -3.339 0.000
Sb -1.013 0.000 3.192
Pb 2.126 1.673 3.192
Pb 2.126 -1.673 3.192
O -0.142 1.495 4.327
O 0.603 0.000 1.978
O -0.142 -1.495 4.327
O 4.395 1.495 2.056
O 3.650 0.000 4.405
O 4.395 -1.495 2.056
```

Values from the calculation:
space-group type: C2/m



Entry 2:
A plane-wave DFT calculation with PBE was carried out for a relaxed structure of KSbPb2O8.

Geometry as extended XYZ:
```
12
Lattice="4.532 0.000 0.000 0.210 5.225 0.000 0.015 0.000 8.002" Properties=species:S:1:pos:R:3 pbc="T T T"
K 0.000 0.000 0.000
Sb 0.007 0.000 4.001
Pb 2.378 2.611 5.652
Pb 2.379 2.613 2.351
O 0.779 2.496 8.002
O 1.097 4.356 5.617
O 1.095 4.356 2.383
O 1.299 1.583 4.001
O 3.458 3.642 4.002
O 3.662 0.869 5.619
O 3.660 0.868 2.385
O 3.978 2.729 0.000
```

Values from the calculation:
space-group type: P-1



Entry 3:
A plane-wave DFT calculation with PBE was carried out for a relaxed structure of KSbPb2O6.

Geometry as extended XYZ:
```
20
Lattice="5.742 0.000 0.000 0.000 6.344 0.000 0.000 0.000 8.783" Properties=species:S:1:pos:R:3 pbc="T T T"
K 0.000 0.000 0.000
K 2.871 3.172 4.391
Sb 0.000 0.000 4.391
Sb 2.871 3.172 0.000
Pb 0.000 3.172 1.887
Pb 0.000 3.172 6.896
Pb 2.871 0.000 2.505
Pb 2.871 0.000 6.278
O 0.843 1.187 2.934
O 0.843 1.187 5.848
O 1.110 2.236 0.000
O 1.761 5.408 4.391
O 2.028 4.359 1.457
O 2.028 4.359 7.326
O 3.715 1.985 1.457
O 3.715 1.985 7.326
O 3.981 0.936 4.391
O 4.632 4.109 0.000
O 4.899 5.157 2.934
O 4.899 5.157 5.848
```

Values from the calculation:
space-group type: Pnnm



Entry 4:
A plane-wave DFT calculation with PBE was carried out for a relaxed structure of KSbPbO6.

Geometry as extended XYZ:
```
18
Lattice="5.633 0.000 0.000 -2.817 4.879 0.000 0.000 0.000 11.894" Properties=species:S:1:pos:R:3 pbc="T T T"
K 0.000 0.000 0.000
K 0.000 0.000 5.947
Sb 0.000 3.253 2.973
Sb 2.817 1.626 8.920
Pb 0.000 3.253 8.920
Pb 2.817 1.626 2.973
O -0.958 1.908 1.826
O -1.644 3.095 4.120
O 0.958 1.908 4.120
O -0.686 4.755 1.826
O 2.131 0.124 7.773
O 1.173 1.784 10.067
O 1.644 3.095 1.826
O 0.686 4.755 4.120
O 3.502 0.124 10.067
O 1.859 2.971 7.773
O 4.461 1.784 7.773
O 3.775 2.971 10.067
```

Values from the calculation:
space-group type: P-31c



Entry 5:
A plane-wave DFT calculation with PBE was carried out for a relaxed structure of KSbPb2O4.

Geometry as extended XYZ:
```
16
Lattice="7.540 0.000 0.000 -0.731 7.507 0.000 -3.299 -3.666 6.043" Properties=species:S:1:pos:R:3 pbc="T T T"
K 0.000 0.000 0.000
K -1.436 -1.586 2.917
Sb -1.453 2.259 2.704
Sb 2.982 7.147 0.218
Pb 0.135 3.700 0.053
Pb 2.090 1.794 2.739
Pb 1.704 5.426 2.870
Pb 3.787 3.665 0.183
O -0.159 0.790 2.649
O -0.194 3.853 2.327
O 1.723 2.201 0.492
O 1.517 5.739 0.596
O 3.662 0.051 2.167
O 3.349 3.992 2.430
O 4.570 6.002 0.272
O 5.673 2.269 0.755
```

Values from the calculation:
space-group type: P1



Entry 6:
A plane-wave DFT calculation with PBE was carried out for a relaxed structure of K2Sc2PbO6.

Geometry as extended XYZ:
```
11
Lattice="2.825 -4.916 0.000 2.825 4.916 0.000 -1.886 0.000 6.351" Properties=species:S:1:pos:R:3 pbc="T T T"
K 2.825 3.270 0.000
K 2.825 -3.270 0.000
Sc 1.882 1.634 3.176
Sc 1.882 -1.634 3.176
Pb -0.943 0.000 3.176
O 0.014 1.715 4.281
O 0.963 0.000 2.073
O 0.014 -1.715 4.281
O 3.751 1.715 2.071
O 2.801 0.000 4.278
O 3.751 -1.715 2.071
```

Values from the calculation:
space-group type: C2/m



Entry 7:
A plane-wave DFT calculation with PBE was carried out for a relaxed structure of KScPb2O.

Geometry as extended XYZ:
```
5
Lattice="5.620 0.000 0.000 0.000 5.620 0.000 0.000 0.000 7.448" Properties=species:S:1:pos:R:3 pbc="T T T"
K 0.000 0.000 0.000
Sc 0.000 0.000 3.724
Pb 0.000 2.810 3.724
Pb 2.810 0.000 3.724
O 2.810 2.810 0.000
```

Values from the calculation:
space-group type: P4/mmm



Entry 8:
A plane-wave DFT calculation with PBE was carried out for a relaxed structure of K3Sc2PbO6.

Geometry as extended XYZ:
```
12
Lattice="2.917 -5.053 0.000 2.917 5.053 0.000 -1.949 0.000 6.209" Properties=species:S:1:pos:R:3 pbc="T T T"
K 0.000 0.000 0.000
K 2.917 1.658 0.000
K 2.917 -1.658 0.000
Sc 1.942 3.366 3.104
Sc 1.942 -3.366 3.104
Pb 1.942 0.000 3.104
O 0.884 1.835 1.953
O -0.174 0.000 4.253
O 0.884 -1.835 1.953
O 3.001 1.835 4.256
O 4.059 0.000 1.955
O 3.001 -1.835 4.256
```

Values from the calculation:
space-group type: C2/m



Results for raw formation energy: -1.3034 -0.8619 -1.2393 -0.9016 -1.2654 -2.2674 0.7335 -2.1753 (in eV/atom, following the order of the records).
Results for E: -5.26 -5.22 -5.48 -5.20 -5.32 -6.66 -3.23 -6.29 (in eV/atom, following the order of the records).